Computed, not measured: crystalline HfHS2Cl at its relaxed geometry at the PBEsol level of DFT.

Computed properties:
Its spin magnetization is 0.00 μB/cell. The calculation puts the raw total energy at -4.94 eV per atom.

Cell: 3.857 3.857 4.562 Å, 90.00 90.00 90.00°
Space group P4/mmm (No. 123)
Asymmetric unit:
Hf  0.000  0.000  0.000 [1 per cell]
H  0.500  0.500  0.500 [1 per cell]
S  0.000  0.500  0.500 [2 per cell]
Cl  0.500  0.500  0.000 [1 per cell]